Entry 1:
Entry from the Alexandria database: a geometry-optimized CsHf2GeRu structure (GGA-PBE).

a b c (Å): 5.0098 5.9380 5.0098
angles (deg): 90.00 90.00 90.00
Closest atoms and distances in Å follow each position.
Fractional coordinates of all 5 atoms:
Cs1 0.0000 0.5000 0.0000  2 Ge 2.97
Ru1 0.5000 0.5000 0.5000  4 Cs 3.54, 8 Hf 3.88
Ge1 0.0000 0.0000 0.0000  4 Hf 2.50
Hf1 0.0000 0.0000 0.5000  2 Ge 2.50
Hf2 0.5000 0.0000 0.0000  2 Ge 2.50

Output
SG ... No. 123
Energy of formation ... 743 kJ/mol of formula units
Density of states at the Fermi level ... 1.081 states/eV per atom
Total DFT energy (no corrections) ... -5.39 eV per atom

Entry 2:
Entry from the Alexandria database: a geometry-optimized Cs2HfGeSe4 structure (GGA-PBE).

a b c (Å): 6.9847 8.1780 13.3311
angles (deg): 83.58 74.81 64.72
Closest atoms and distances in Å follow each position.
Fractional coordinates of all 16 atoms:
Cs1 0.1794 0.0000 0.6412  8 Se 3.88-4.34
Cs2 0.8206 0.0000 0.3588  8 Se 3.88-4.34
Cs3 0.5706 0.5000 0.8588  8 Se 3.88-4.34
Cs4 0.9294 0.5000 0.1412  8 Se 3.88-4.34
Hf1 0.7500 0.5000 0.5000  4 Se 2.51
Hf2 0.0000 0.0000 0.0000  4 Se 2.51
Ge1 0.2500 0.5000 0.5000  4 Se 2.73
Ge2 0.5000 0.0000 0.0000  4 Se 2.73
Se1 0.2686 0.8114 0.1059  1 Hf 2.51, 1 Ge 2.73
Se2 0.1858 0.1886 0.8941  1 Hf 2.51, 1 Ge 2.73
Se3 0.9200 0.8114 0.8941  1 Hf 2.51, 1 Ge 2.73
Se4 0.6255 0.1886 0.1059  1 Hf 2.51, 1 Ge 2.73
Se5 0.4814 0.6886 0.3941  1 Hf 2.51, 1 Ge 2.73
Se6 0.5642 0.3114 0.6059  1 Hf 2.51, 1 Ge 2.73
Se7 0.8300 0.6886 0.6059  1 Hf 2.51, 1 Ge 2.73
Se8 0.1245 0.3114 0.3941  1 Hf 2.51, 1 Ge 2.73

Output
SG ... No. 70
Formation energy (no corrections) ... -819 kJ/mol of formula units
Density of states at the Fermi level ... 0.000 states/eV per atom
Total DFT energy (no corrections) ... -4.84 eV per atom

Entry 3:
Entry from the Alexandria database: a geometry-optimized CsHf2GeSe structure (GGA-PBE).

a b c (Å): 5.0690 6.2188 5.0690
angles (deg): 90.00 90.00 90.00
Closest atoms and distances in Å follow each position.
Fractional coordinates of all 5 atoms:
Cs1 0.0000 0.5000 0.0000  2 Se 3.11
Ge1 0.5000 0.5000 0.5000  4 Cs 3.58, 8 Hf 4.01
Hf1 0.0000 0.0000 0.5000  2 Se 2.53
Hf2 0.5000 0.0000 0.0000  2 Se 2.53
Se1 0.0000 0.0000 0.0000  4 Hf 2.53

Output
SG ... No. 123
Formation energy (no corrections) ... 323 kJ/mol of formula units
Density of states at the Fermi level ... 1.207 states/eV per atom
Total DFT energy (no corrections) ... -5.10 eV per atom

Entry 4:
Entry from the Alexandria database: a geometry-optimized CsSrHf2Ge structure (GGA-PBE).

a b c (Å): 5.6249 5.8151 5.6249
angles (deg): 90.00 90.00 90.00
Closest atoms and distances in Å follow each position.
Fractional coordinates of all 5 atoms:
Cs1 0.5000 0.5000 0.5000  4 Ge 3.98, 8 Hf 4.05
Sr1 0.0000 0.0000 0.0000  4 Hf 2.81, 2 Ge 2.91
Ge1 0.0000 0.5000 0.0000  2 Sr 2.91
Hf1 0.0000 0.0000 0.5000  2 Sr 2.81
Hf2 0.5000 0.0000 0.0000  2 Sr 2.81

Output
Distance to the lowest polymorph of the same formula ... 966.6 meV/atom
SG ... No. 123
Energy of formation ... 815 kJ/mol of formula units
Density of states at the Fermi level ... 1.060 states/eV per atom
Total DFT energy (no corrections) ... -3.72 eV per atom

Entry 5:
Entry from the Alexandria database: a geometry-optimized CsSrHf2Ge structure (GGA-PBE).

a b c (Å): 5.2170 6.6385 5.2170
angles (deg): 90.00 90.00 90.00
Closest atoms and distances in Å follow each position.
Fractional coordinates of all 5 atoms:
Cs1 0.0000 0.5000 0.0000  2 Ge 3.32, 4 Sr 3.69
Sr1 0.5000 0.5000 0.5000  4 Cs 3.69
Ge1 0.0000 0.0000 0.0000  4 Hf 2.61
Hf1 0.0000 0.0000 0.5000  2 Ge 2.61
Hf2 0.5000 0.0000 0.0000  2 Ge 2.61

Output
Distance to the lowest polymorph of the same formula ... 0.0 meV/atom
SG ... No. 123
Energy of formation ... 349 kJ/mol of formula units
Density of states at the Fermi level ... 1.381 states/eV per atom
Total DFT energy (no corrections) ... -4.69 eV per atom

Entry 6:
Entry from the Alexandria database: a geometry-optimized CsHfGe2Te structure (GGA-PBE).

a b c (Å): 5.4442 6.1509 5.4442
angles (deg): 90.00 90.00 90.00
Closest atoms and distances in Å follow each position.
Fractional coordinates of all 5 atoms:
Cs1 0.0000 0.0000 0.0000  4 Ge 2.72
Ge1 0.0000 0.0000 0.5000  2 Cs 2.72
Ge2 0.5000 0.0000 0.0000  2 Cs 2.72
Te1 0.0000 0.5000 0.0000  2 Cs 3.08
Hf1 0.5000 0.5000 0.5000  4 Te 3.85, 8 Ge 4.11

Output
SG ... No. 123
Formation energy (no corrections) ... 920 kJ/mol of formula units
Density of states at the Fermi level ... 1.426 states/eV per atom
Total DFT energy (no corrections) ... -2.73 eV per atom

Please write out number 5 again, unchanged.
Entry from the Alexandria database: a geometry-optimized CsSrHf2Ge structure (GGA-PBE).

a b c (Å): 5.2170 6.6385 5.2170
angles (deg): 90.00 90.00 90.00
Closest atoms and distances in Å follow each position.
Fractional coordinates of all 5 atoms:
Cs1 0.0000 0.5000 0.0000  2 Ge 3.32, 4 Sr 3.69
Sr1 0.5000 0.5000 0.5000  4 Cs 3.69
Ge1 0.0000 0.0000 0.0000  4 Hf 2.61
Hf1 0.0000 0.0000 0.5000  2 Ge 2.61
Hf2 0.5000 0.0000 0.0000  2 Ge 2.61

Output
Distance to the lowest polymorph of the same formula ... 0.0 meV/atom
SG ... No. 123
Energy of formation ... 349 kJ/mol of formula units
Density of states at the Fermi level ... 1.381 states/eV per atom
Total DFT energy (no corrections) ... -4.69 eV per atom